[1]
Below is a relaxed structure of Na4PaGe3O12, with properties calculated at the GGA-PBE level.

The structure belongs to space group Im-3m (No. 229); the cell edges are 7.878, 7.878 and 7.878 Å and the angles 90.00°, 90.00° and 90.00°. The asymmetric unit holds Na at (0.250, 0.250, 0.250), Pa at (0.000, 0.000, 0.000), Ge at (0.000, 0.000, 0.500), O at (0.000, 0.000, 0.269) and O at (0.000, 0.250, 0.500).

The formation energy (no corrections) is -1.719 eV per atom.

---

[2]
Below is a relaxed structure of CuPdN, with properties calculated at the GGA-PBE level.

The structure belongs to space group C2/m (No. 12); the cell edges are 3.957, 3.959 and 13.457 Å and the angles 90.00°, 95.59° and 90.00°. The asymmetric unit holds Cu at (0.182, 0.000, 0.299), Pd at (0.224, 0.500, 0.425) and N at (0.011, 0.500, 0.042).

The formation energy (no corrections) is 0.265 eV per atom.

---

[3]
Below is a relaxed structure of Al3TlTc, with properties calculated at the GGA-PBE level.

The structure belongs to space group Pm-3m (No. 221); the cell edges are 4.852, 4.852 and 4.852 Å and the angles 90.00°, 90.00° and 90.00°. The asymmetric unit holds Al at (0.000, 0.000, 0.500), Tl at (0.500, 0.500, 0.500) and Tc at (0.000, 0.000, 0.000).

The calculation puts the calculated formation energy at 0.114 eV/atom.

---

[4]
Below is a relaxed structure of ScTaVRe, with properties calculated at the GGA-PBE level.

The structure belongs to space group F-43m (No. 216); the cell edges are 6.480, 6.480 and 6.480 Å and the angles 90.00°, 90.00° and 90.00°. The asymmetric unit holds Sc at (0.000, 0.000, 0.000), Ta at (0.000, 0.000, 0.500), V at (0.250, 0.250, 0.250) and Re at (0.250, 0.250, 0.750).

The calculation puts the calculated formation energy at -0.046 eV/atom.

---

[5]
Below is a relaxed structure of LiAg2Os, with properties calculated at the GGA-PBE level.

The structure belongs to space group Cm (No. 8); the cell edges are 9.630, 2.642 and 5.026 Å and the angles 90.00°, 97.27° and 90.00°. The asymmetric unit holds Li at (0.000, 0.000, 0.000), Ag at (0.006, 0.500, 0.528), Ag at (0.254, 0.500, 0.241) and Os at (0.252, 0.000, 0.745).

The calculation puts the calculated formation energy at 0.352 eV/atom.

---

[6]
Below is a relaxed structure of CaTlNiB2, with properties calculated at the GGA-PBE level.

The structure belongs to space group P4/mmm (No. 123); the cell edges are 4.091, 4.091 and 5.067 Å and the angles 90.00°, 90.00° and 90.00°. The asymmetric unit holds Ca at (0.000, 0.000, 0.000), Tl at (0.500, 0.500, 0.000), Ni at (0.500, 0.500, 0.500) and B at (0.000, 0.500, 0.500).

The calculation puts the calculated formation energy at 0.706 eV/atom.

---

[7]
Below is a relaxed structure of Ac3SnIr3, with properties calculated at the GGA-PBE level.

The structure belongs to space group P6_3/m (No. 176); the cell edges are 9.1287, 9.1287 and 5.9899 Å and the angles 90.00°, 90.00° and 120.00°. The asymmetric unit holds Ac at (0.0550, 0.7026, 0.2500), Sn at (0.3333, 0.6667, 0.7500) and Ir at (0.0565, 0.6822, 0.7500).

The calculation puts the calculated formation energy at -0.427 eV/atom.

---

[8]
Below is a relaxed structure of Mg3CrSe, with properties calculated at the GGA-PBE level.

The structure belongs to space group Pm-3m (No. 221); the cell edges are 5.195, 5.195 and 5.195 Å and the angles 90.00°, 90.00° and 90.00°. The asymmetric unit holds Mg at (0.000, 0.000, 0.500), Cr at (0.000, 0.000, 0.000) and Se at (0.500, 0.500, 0.500).

The formation energy (no corrections) is 0.662 eV per atom.

---

[9]
Below is a relaxed structure of Ca2Ni5Ge3, with properties calculated at the GGA-PBE level.

The structure belongs to space group Cmc2_1 (No. 36); the cell edges are 4.004, 25.194 and 6.559 Å and the angles 90.00°, 90.00° and 90.00°. The asymmetric unit holds Ca at (0.000, 0.019, 0.000), Ca at (0.000, 0.324, 0.013), Ni at (0.000, 0.090, 0.569), Ni at (0.000, 0.212, 0.168), Ni at (0.000, 0.226, 0.781), Ni at (0.000, 0.369, 0.502), Ni at (0.000, 0.427, 0.830), Ge at (0.000, 0.119, 0.222), Ge at (0.000, 0.273, 0.468) and Ge at (0.000, 0.437, 0.209).

The calculation puts the calculated formation energy at -0.351 eV/atom.

---

[10]
Below is a relaxed structure of Sr2Li4Mg5, with properties calculated at the GGA-PBE level.

The structure belongs to space group Fmmm (No. 69); the cell edges are 6.380, 10.265 and 18.990 Å and the angles 90.00°, 90.00° and 90.00°. The asymmetric unit holds Sr at (0.000, 0.000, 0.126), Li at (0.000, 0.157, 0.371), Mg at (0.000, 0.000, 0.500), Mg at (0.250, 0.250, 0.000) and Mg at (0.250, 0.250, 0.250).

The calculation puts the calculated formation energy at 0.004 eV/atom.

---

[11]
Below is a relaxed structure of CePu2Bi, with properties calculated at the GGA-PBE level.

The structure belongs to space group P4/mmm (No. 123); the cell edges are 4.741, 4.741 and 4.919 Å and the angles 90.00°, 90.00° and 90.00°. The asymmetric unit holds Ce at (0.000, 0.000, 0.000), Pu at (0.000, 0.500, 0.500) and Bi at (0.500, 0.500, 0.000).

The calculation puts the calculated formation energy at -0.272 eV/atom.

---

[12]
Below is a relaxed structure of BaCaB, with properties calculated at the GGA-PBE level.

The structure belongs to space group P-1 (No. 2); the cell edges are 4.153, 5.034 and 10.222 Å and the angles 88.22°, 87.56° and 68.09°. The asymmetric unit holds Ba at (0.169, 0.236, 0.335), Ca at (0.147, 0.217, 0.905) and B at (0.457, 0.606, 0.939).

The calculation puts the calculated formation energy at 0.172 eV/atom.

---

[13]
Below is a relaxed structure of Y3NiIr8, with properties calculated at the GGA-PBE level.

The structure belongs to space group R3m (No. 160, hexagonal axes); the cell edges are 5.3184, 5.3184 and 26.1157 Å and the angles 90.00°, 90.00° and 120.00°. The asymmetric unit holds Y at (0.0000, 0.0000, 0.0000), Y at (0.0000, 0.0000, 0.1301), Y at (0.0000, 0.0000, 0.5166), Ni at (0.0000, 0.0000, 0.6531), Ir at (0.0000, 0.0000, 0.3164), Ir at (0.0000, 0.0000, 0.8178), Ir at (0.0004, 0.5002, 0.5683) and Ir at (0.0015, 0.5007, 0.0670).

The calculation puts the calculated formation energy at -0.499 eV/atom.

---

[14]
Below is a relaxed structure of SmMg2Cu, with properties calculated at the GGA-PBE level.

The structure belongs to space group Pnma (No. 62); the cell edges are 16.036, 8.112 and 5.508 Å and the angles 90.00°, 90.00° and 90.00°. The asymmetric unit holds Sm at (0.106, 0.250, 0.245), Sm at (0.137, 0.750, 0.065), Mg at (0.039, 0.055, 0.744), Mg at (0.214, 0.555, 0.554), Cu at (0.068, 0.750, 0.555) and Cu at (0.185, 0.250, 0.750).

The calculation puts the calculated formation energy at -0.163 eV/atom.

---

[15]
Below is a relaxed structure of YMnFe2, with properties calculated at the GGA-PBE level.

The structure belongs to space group P4mm (No. 99); the cell edges are 3.177, 3.177 and 6.499 Å and the angles 90.00°, 90.00° and 90.00°. The asymmetric unit holds Y at (0.000, 0.000, 0.000), Mn at (0.500, 0.500, 0.683), Fe at (0.000, 0.000, 0.479) and Fe at (0.500, 0.500, 0.298).

The calculation puts the calculated formation energy at 0.247 eV/atom.

---

[16]
Below is a relaxed structure of TaAsPS2, with properties calculated at the GGA-PBE level.

The structure belongs to space group P4/mmm (No. 123); the cell edges are 4.549, 4.549 and 4.610 Å and the angles 90.00°, 90.00° and 90.00°. The asymmetric unit holds Ta at (0.000, 0.000, 0.000), As at (0.500, 0.500, 0.500), P at (0.500, 0.500, 0.000) and S at (0.000, 0.500, 0.500).

The formation energy (no corrections) is 1.007 eV per atom.

---

[17]
Below is a relaxed structure of AcInSe, with properties calculated at the GGA-PBE level.

The structure belongs to space group P2/c (No. 13); the cell edges are 4.307, 10.122 and 6.132 Å and the angles 90.00°, 134.38° and 90.00°. The asymmetric unit holds Ac at (0.000, 0.190, 0.250), In at (0.500, 0.497, 0.750) and Se at (0.000, 0.125, 0.750).

The formation energy (no corrections) is -1.191 eV per atom.

---

[18]
Below is a relaxed structure of Tm6GeSe2S3, with properties calculated at the GGA-PBE level.

The structure belongs to space group C2/m (No. 12); the cell edges are 6.849, 11.844 and 6.842 Å and the angles 90.00°, 109.43° and 90.00°. The asymmetric unit holds Tm at (0.234, 0.000, 0.237), Tm at (0.248, 0.161, 0.763), Ge at (0.000, 0.000, 0.500), Se at (0.000, 0.333, 0.500), S at (0.000, 0.170, 0.000) and S at (0.000, 0.500, 0.000).

The formation energy (no corrections) is -1.714 eV per atom.

---

[19]
Below is a relaxed structure of Ac2NdGe2, with properties calculated at the GGA-PBE level.

The structure belongs to space group P4/mbm (No. 127); the cell edges are 8.119, 8.119 and 4.707 Å and the angles 90.00°, 90.00° and 90.00°. The asymmetric unit holds Ac at (0.176, 0.324, 0.000), Nd at (0.000, 0.000, 0.500) and Ge at (0.119, 0.619, 0.500).

The calculation puts the calculated formation energy at -0.668 eV/atom.

---

[20]
Below is a relaxed structure of TmMg3Pt4, with properties calculated at the GGA-PBE level.

The structure belongs to space group Pmma (No. 51); the cell edges are 9.512, 6.007 and 4.815 Å and the angles 90.00°, 90.00° and 90.00°. The asymmetric unit holds Tm at (0.000, 0.000, 0.000), Mg at (0.000, 0.500, 0.000), Mg at (0.250, 0.000, 0.457), Mg at (0.250, 0.500, 0.435), Pt at (0.000, 0.259, 0.500) and Pt at (0.250, 0.262, 0.933).

The calculation puts the calculated formation energy at -0.969 eV/atom.